Re3HgO12 | PBE | relaxed

Cell: 11.5014 11.5014 11.5014 Å, 46.52 46.52 46.52°
Last column: nearest neighbours and their distance in Å.
Sites, in units of the cell vectors:
Re: 0.0254 0.2790 0.6956  4 O 1.73-1.78
Re: 0.1956 0.7790 0.5254  4 O 1.73-1.78
Re: 0.2790 0.6956 0.0254  4 O 1.73-1.78
Re: 0.5254 0.1956 0.7790  4 O 1.73-1.78
Re: 0.6956 0.0254 0.2790  4 O 1.73-1.78
Re: 0.7790 0.5254 0.1956  4 O 1.73-1.78
Hg: 0.4102 0.4102 0.4102  6 O 2.29-2.30
Hg: 0.9102 0.9102 0.9102  6 O 2.29-2.30
O: 0.0382 0.1056 0.7107  1 Re 1.78
O: 0.0652 0.9784 0.4154  1 Re 1.73
O: 0.0986 0.7576 0.7406  1 Re 1.78
O: 0.1056 0.7107 0.0382  1 Re 1.78
O: 0.2107 0.6056 0.5382  1 Re 1.78
O: 0.2406 0.2576 0.5986  1 Re 1.78
O: 0.2576 0.5986 0.2406  1 Re 1.78
O: 0.2751 0.9022 0.9102  1 Re 1.73
O: 0.4022 0.7751 0.4102  1 Re 1.73
O: 0.4102 0.4022 0.7751  1 Re 1.73
O: 0.4154 0.0652 0.9784  1 Re 1.73
O: 0.4784 0.5652 0.9154  1 Re 1.73
O: 0.5382 0.2107 0.6056  1 Re 1.78
O: 0.5652 0.9154 0.4784  1 Re 1.73
O: 0.5986 0.2406 0.2576  1 Re 1.78
O: 0.6056 0.5382 0.2107  1 Re 1.78
O: 0.7107 0.0382 0.1056  1 Re 1.78
O: 0.7406 0.0986 0.7576  1 Re 1.78
O: 0.7576 0.7406 0.0986  1 Re 1.78
O: 0.7751 0.4102 0.4022  1 Re 1.73
O: 0.9022 0.9102 0.2751  1 Re 1.73
O: 0.9102 0.2751 0.9022  1 Re 1.73
O: 0.9154 0.4784 0.5652  1 Re 1.73
O: 0.9784 0.4154 0.0652  1 Re 1.73

Results
The uncorrected formation energy comes out at -1.26 eV/atom. Its density of states at the Fermi level is 0.651 states/eV per atom.

BaOsBr2 | PBE | relaxed

Cell: 5.4181 3.9710 6.1018 Å, 90.00 110.35 90.00°
Last column: nearest neighbours and their distance in Å.
Sites, in units of the cell vectors:
Ba: 0.0000 0.0000 0.0000  2 Os 3.05
Os: 0.0000 0.0000 0.5000  4 Br 2.55
Br: 0.2893 0.5000 0.6931  2 Os 2.55
Br: 0.7107 0.5000 0.3069  2 Os 2.55

Results
The uncorrected formation energy comes out at -0.08 eV/atom. The relative energy among the computed polymorphs is 0.000 eV per atom. Its density of states at the Fermi level is 0.116 states/eV per atom.

NdEr2MgHg4 | PBE | relaxed

Cell: 9.3382 9.3382 9.3382 Å, 31.76 31.76 31.76°
Last column: nearest neighbours and their distance in Å.
Sites, in units of the cell vectors:
Nd: 0.0000 0.0000 0.0000  8 Hg 3.21-3.36
Er: 0.2429 0.2429 0.2429  7 Hg 3.09-3.16
Er: 0.7571 0.7571 0.7571  7 Hg 3.09-3.16
Mg: 0.5000 0.5000 0.5000  8 Hg 3.14-3.15
Hg: 0.1265 0.1265 0.1265  4 Er 3.09-3.10, 3 Mg 3.14, 1 Nd 3.36
Hg: 0.3814 0.3814 0.3814  1 Mg 3.15, 3 Er 3.16, 3 Nd 3.21
Hg: 0.6186 0.6186 0.6186  1 Mg 3.15, 3 Er 3.16, 3 Nd 3.21
Hg: 0.8735 0.8735 0.8735  4 Er 3.09-3.10, 3 Mg 3.14, 1 Nd 3.36

Results
The calculation puts the total energy at -20.20 eV/cell. Its density of states at the Fermi level is 0.628 states/eV per atom.